(1)
Density functional theory data (PBE) for a relaxed Zn6IrRh crystal.

The value obtained for the density of states at the Fermi level is 14.25 states/eV per cell. The final energy is -103.54 eV/cell. The calculation puts the energy above the most stable polymorph in this dataset at 0.000 eV per atom. The value obtained for the density is 10.14 g cm⁻³. For the total moment, the calculation gives 0.00 μB per formula unit. For the formation energy, the calculation gives -2.0 eV per formula unit.

Cell: 6.6329 6.6329 10.9028 Å, 90.00 90.00 110.17°
Fractional coordinates of all 32 atoms:
Zn: 0.0000 0.0000 0.0000
Zn: 0.0000 0.0000 0.5000
Zn: 0.1258 0.3765 0.3750
Zn: 0.1258 0.3765 0.6250
Zn: 0.1280 0.3779 0.1250
Zn: 0.1280 0.3779 0.8750
Zn: 0.2492 0.7508 0.2496
Zn: 0.2492 0.7508 0.7504
Zn: 0.3765 0.1258 0.3750
Zn: 0.3765 0.1258 0.6250
Zn: 0.3779 0.1280 0.1250
Zn: 0.3779 0.1280 0.8750
Zn: 0.5000 0.5000 0.0000
Zn: 0.5000 0.5000 0.5000
Zn: 0.6221 0.8720 0.1250
Zn: 0.6221 0.8720 0.8750
Zn: 0.6235 0.8742 0.3750
Zn: 0.6235 0.8742 0.6250
Zn: 0.7508 0.2492 0.2496
Zn: 0.7508 0.2492 0.7504
Zn: 0.8720 0.6221 0.1250
Zn: 0.8720 0.6221 0.8750
Zn: 0.8742 0.6235 0.3750
Zn: 0.8742 0.6235 0.6250
Ir: 0.2450 0.7550 0.0000
Ir: 0.5000 0.5000 0.2531
Ir: 0.5000 0.5000 0.7469
Ir: 0.7550 0.2450 0.0000
Rh: 0.0000 0.0000 0.2511
Rh: 0.0000 0.0000 0.7489
Rh: 0.2461 0.7539 0.5000
Rh: 0.7539 0.2461 0.5000

(2)
Density functional theory data (PBE) for a relaxed Ce3PmPa2P6 crystal.

The value obtained for the density of states at the Fermi level is 17.99 states/eV per cell. The final energy is -91.43 eV/cell. The value obtained for the density is 7.15 g cm⁻³. For the total moment, the calculation gives 1.51 μB per formula unit. For the formation energy, the calculation gives -17.4 eV per formula unit.

Cell: 7.0093 7.0093 7.0241 Å, 99.58 99.58 119.99°
Fractional coordinates of all 12 atoms:
Ce: 0.0000 0.0000 0.0000
Ce: 0.3355 0.6645 0.0000
Ce: 0.6645 0.3355 0.0000
Pm: 0.5000 0.5000 0.5000
Pa: 0.1670 0.8330 0.5000
Pa: 0.8330 0.1670 0.5000
P: 0.0769 0.4187 0.2564
P: 0.2392 0.2392 0.7426
P: 0.4187 0.0769 0.2564
P: 0.5813 0.9231 0.7436
P: 0.7608 0.7608 0.2574
P: 0.9231 0.5813 0.7436

(3)
Density functional theory data (PBE) for a relaxed YHg crystal.

The value obtained for the density of states at the Fermi level is 6.77 states/eV per cell. The final energy is -30.90 eV/cell. The value obtained for the density is 9.00 g cm⁻³. For the total moment, the calculation gives 0.00 μB per formula unit. For the formation energy, the calculation gives -1.0 eV per formula unit.

Cell: 3.8790 11.5426 4.7737 Å, 90.00 90.00 90.00°
Fractional coordinates of all 8 atoms:
Y: 0.0000 0.1442 0.2500
Y: 0.0000 0.8558 0.7500
Y: 0.5000 0.3558 0.7500
Y: 0.5000 0.6442 0.2500
Hg: 0.0000 0.4129 0.2500
Hg: 0.0000 0.5871 0.7500
Hg: 0.5000 0.0871 0.7500
Hg: 0.5000 0.9129 0.2500

(4)
Density functional theory data (PBE) for a relaxed Ba4Na2Si crystal.

The value obtained for the density of states at the Fermi level is 15.22 states/eV per cell. The final energy is -31.66 eV/cell. The value obtained for the density is 2.53 g cm⁻³. For the total moment, the calculation gives 0.80 μB per formula unit.

Cell: 6.4954 6.4954 19.3644 Å, 90.00 90.00 90.00°
Fractional coordinates of all 14 atoms:
Ba: 0.0000 0.0000 0.1652
Ba: 0.0000 0.0000 0.8348
Ba: 0.0000 0.5000 0.0000
Ba: 0.0000 0.5000 0.5000
Ba: 0.5000 0.0000 0.0000
Ba: 0.5000 0.0000 0.5000
Ba: 0.5000 0.5000 0.3348
Ba: 0.5000 0.5000 0.6652
Na: 0.0000 0.0000 0.3691
Na: 0.0000 0.0000 0.6309
Na: 0.5000 0.5000 0.1309
Na: 0.5000 0.5000 0.8691
Si: 0.0000 0.0000 0.0000
Si: 0.5000 0.5000 0.5000

(5)
Density functional theory data (PBE) for a relaxed CrCu2Rh crystal.

The value obtained for the density of states at the Fermi level is 7.02 states/eV per cell. The final energy is -49.81 eV/cell. The value obtained for the density is 9.07 g cm⁻³. For the total moment, the calculation gives 2.59 μB per formula unit. For the formation energy, the calculation gives 0.3 eV per formula unit.

Cell: 3.7469 3.7469 7.3525 Å, 90.00 90.00 90.00°
Fractional coordinates of all 8 atoms:
Cr: 0.0000 0.0000 0.0000
Cr: 0.5000 0.5000 0.5000
Cu: 0.0000 0.0000 0.5000
Cu: 0.0000 0.5000 0.7500
Cu: 0.5000 0.0000 0.2500
Cu: 0.5000 0.5000 0.0000
Rh: 0.0000 0.5000 0.2500
Rh: 0.5000 0.0000 0.7500

(6)
Density functional theory data (PBE) for a relaxed Cs3La3SnS8 crystal.

The final energy is -77.77 eV/cell. The value obtained for the density is 3.89 g cm⁻³. For the total moment, the calculation gives 0.00 μB per formula unit.

Cell: 9.5707 9.5707 9.5707 Å, 52.36 52.36 52.36°
Fractional coordinates of all 15 atoms:
Cs: 0.0000 0.5000 0.5000
Cs: 0.5000 0.0000 0.5000
Cs: 0.5000 0.5000 0.0000
La: 0.0000 0.0000 0.5000
La: 0.0000 0.5000 0.0000
La: 0.5000 0.0000 0.0000
Sn: 0.5000 0.5000 0.5000
S: 0.2282 0.2282 0.2282
S: 0.2544 0.7111 0.7111
S: 0.2889 0.2889 0.7456
S: 0.2889 0.7456 0.2889
S: 0.7111 0.2544 0.7111
S: 0.7111 0.7111 0.2544
S: 0.7456 0.2889 0.2889
S: 0.7718 0.7718 0.7718

(7)
Density functional theory data (PBE) for a relaxed SmLuZn crystal.

The value obtained for the density of states at the Fermi level is 3.96 states/eV per cell. The final energy is -10.66 eV/cell. The calculation puts the energy above the most stable polymorph in this dataset at 0.154 eV per atom. The value obtained for the density is 8.19 g cm⁻³. For the total moment, the calculation gives 0.00 μB per formula unit. For the formation energy, the calculation gives -0.1 eV per formula unit.

Cell: 4.9621 4.9621 3.7152 Å, 90.00 90.00 120.00°
Fractional coordinates of all 3 atoms:
Sm: 0.0000 0.0000 0.0000
Lu: 0.3333 0.6667 0.4766
Zn: 0.6667 0.3333 0.6110

(8)
Density functional theory data (PBE) for a relaxed ReTe3 crystal.

The value obtained for the density of states at the Fermi level is 6.46 states/eV per cell. The final energy is -41.83 eV/cell. The calculation puts the energy above the most stable polymorph in this dataset at 0.032 eV per atom. The value obtained for the density is 7.43 g cm⁻³. For the total moment, the calculation gives 0.00 μB per formula unit.

Cell: 9.4961 9.4961 3.2556 Å, 90.00 90.00 120.00°
Fractional coordinates of all 8 atoms:
Re: 0.3333 0.6667 0.2500
Re: 0.6667 0.3333 0.7500
Te: 0.2035 0.4069 0.7500
Te: 0.2035 0.7965 0.7500
Te: 0.4069 0.2035 0.2500
Te: 0.5931 0.7965 0.7500
Te: 0.7965 0.2035 0.2500
Te: 0.7965 0.5931 0.2500

What is the final energy in the sixth record? -77.77 eV/cell